The following is a DFT calculation (PBE) of crystalline NdSn2PdAu at its relaxed geometry.

a b c (Å): 4.6110 4.6110 11.0193
angles (deg): 90.00 90.00 90.00
Closest atoms and distances in Å follow each position.
Space group P4/nmm (No. 129, origin choice 2)
Unique sites:
Nd: 0.2500 0.2500 0.2437 [2 per cell]  8 Sn 3.45-3.65, 4 Au 3.54, 4 Pd 3.57
Sn: 0.2500 0.2500 0.8594 [2 per cell]  1 Pd 2.58, 4 Au 2.78
Sn: 0.2500 0.7500 0.5000 [2 per cell]  4 Pd 2.69
Pd: 0.2500 0.2500 0.6251 [2 per cell]  5 Sn 2.58-2.69
Au: 0.2500 0.7500 0.0000 [2 per cell]  4 Sn 2.78

## Properties
E_tot in eV for the cell shown: -49.24
Magnetic moment in μB per formula unit: 0.003

The following is a DFT calculation (PBE) of crystalline Ta4Bi3Mo2C3 at its relaxed geometry.

a b c (Å): 9.8616 5.6539 15.0922
angles (deg): 90.00 105.04 90.00
Closest atoms and distances in Å follow each position.
Space group C2/c (No. 15)
Unique sites:
Ta: 0.0354 0.1713 0.0762 [8 per cell]  3 C 2.17-2.22
Ta: 0.1953 0.3402 0.5763 [8 per cell]  3 C 2.17-2.19
Bi: 0.0000 0.3791 0.2500 [4 per cell]  2 Ta 2.98, 2 Mo 3.15, 6 Bi 3.25-3.30
Bi: 0.1691 0.1264 0.7545 [8 per cell]  1 Mo 2.90, 3 Ta 3.02-3.16, 1 Bi 3.25
Mo: 0.1427 0.3262 0.9266 [8 per cell]  3 C 2.17-2.23
C: 0.0000 0.5000 0.0000 [4 per cell]  4 Ta 2.17, 2 Mo 2.23
C: 0.1654 0.0078 0.4996 [8 per cell]  2 Mo 2.17-2.19, 4 Ta 2.18-2.22

## Properties
E_tot in eV for the cell shown: -435.68
Magnetic moment in μB per formula unit: 0.003

The following is a DFT calculation (PBE) of crystalline DyNbTl at its relaxed geometry.

a b c (Å): 7.0347 7.0347 7.0347
angles (deg): 90.00 90.00 90.00
Closest atoms and distances in Å follow each position.
Space group F-43m (No. 216)
Unique sites:
Dy: 0.0000 0.0000 0.0000 [4 per cell]  4 Tl 3.05, 4 Nb 3.05
Nb: 0.2500 0.2500 0.7500 [4 per cell]  4 Dy 3.05
Tl: 0.2500 0.2500 0.2500 [4 per cell]  4 Dy 3.05

## Properties
E_tot in eV for the cell shown: -56.70
Magnetic moment in μB per formula unit: 3.029

The following is a DFT calculation (PBE) of crystalline NaPdNO at its relaxed geometry.

a b c (Å): 3.4707 3.4707 7.7025
angles (deg): 90.00 90.00 90.00
Closest atoms and distances in Å follow each position.
Space group P4/nmm (No. 129, origin choice 2)
Unique sites:
Na: 0.2500 0.7500 0.0000 [2 per cell]  4 N 2.38, 4 Na 2.45
Pd: 0.2500 0.2500 0.3391 [2 per cell]  4 O 2.13
N: 0.2500 0.2500 0.7892 [2 per cell]  4 Na 2.38, 4 Pd 2.65
O: 0.2500 0.7500 0.5000 [2 per cell]  4 Pd 2.13

## Properties
E_tot in eV for the cell shown: -31.88

The following is a DFT calculation (PBE) of crystalline MgZrNiSb at its relaxed geometry.

a b c (Å): 6.7029 6.7029 6.7029
angles (deg): 90.00 90.00 90.00
Closest atoms and distances in Å follow each position.
Space group F-43m (No. 216)
Unique sites:
Mg: 0.0000 0.0000 0.0000 [4 per cell]  4 Sb 2.90, 4 Zr 2.90
Zr: 0.2500 0.2500 0.7500 [4 per cell]  4 Ni 2.90, 4 Mg 2.90
Ni: 0.0000 0.0000 0.5000 [4 per cell]  4 Zr 2.90, 4 Sb 2.90
Sb: 0.2500 0.2500 0.2500 [4 per cell]  4 Ni 2.90, 4 Mg 2.90

## Properties
E_tot in eV for the cell shown: -78.27
Magnetic moment in μB per formula unit: 0.001

The following is a DFT calculation (PBE) of crystalline HoInTe3Au at its relaxed geometry.

a b c (Å): 4.1464 15.2190 11.1114
angles (deg): 90.00 90.00 90.00
Closest atoms and distances in Å follow each position.
Space group Cmcm (No. 63)
Unique sites:
Ho: 0.0000 0.0000 0.0000 [4 per cell]  6 Te 3.09-3.12
In: 0.0000 0.2339 0.2500 [4 per cell]  6 Te 3.29-3.35
Te: 0.0000 0.0931 0.7500 [4 per cell]  2 Au 2.78, 2 Ho 3.12
Te: 0.0000 0.3554 0.5555 [8 per cell]  1 Au 2.79, 2 Ho 3.09
Au: 0.0000 0.4710 0.7500 [4 per cell]  4 Te 2.78-2.79

## Properties
E_tot in eV for the cell shown: -95.77
Magnetic moment in μB per formula unit: 0.001

> The lowest E_tot belongs to which entry?

Ta4Bi3Mo2C3